## PmFeTe2O8 (GGA+U)

Data for a relaxed PmFeTe2O8 crystal.

Unit cell a=6.197 b=6.197 c=6.197 alpha=107.89 beta=107.89 gamma=112.69
Atoms (fractional coordinates):
Fe 0.000 0.000 0.000
O 0.756 0.060 0.697
O 0.940 0.637 0.697
O 0.363 0.060 0.303
O 0.320 0.508 0.188
O 0.868 0.680 0.188
O 0.940 0.244 0.303
O 0.320 0.132 0.812
O 0.492 0.680 0.812
Te 0.500 0.500 0.000
Te 0.750 0.250 0.500
Pm 0.250 0.750 0.500

Properties
- uncorrected energy (eV for the cell shown) = -72.9
- DOS(E_F) (states/eV/cell) = 2.761
- crystal system = tetragonal
- total magnetization (μB per formula unit) = 3.44
- space group = I-4m2